! PBE Ti6Nb5Pd, optimized geometry; values from VASP
! DFT formation energy: -0.0729 eV per atom
! N(E_F): 1.69 states/eV per atom
! V: 205.5 Å³ per cell
! total magnetic moment: 0.000 μB per cell
&SYSTEM
  ibrav = 0, nat = 12, ntyp = 3
/
ATOMIC_SPECIES
Ti 47.87 Ti.upf
Nb 92.91 Nb.upf
Pd 106.42 Pd.upf
ATOMIC_POSITIONS crystal
Ti 0.7521 0.9157 0.5884
Ti 0.7445 0.2442 0.2442
Ti 0.2479 0.4116 0.0843
Ti 0.2479 0.0843 0.4116
Ti 0.7521 0.5884 0.9157
Ti 0.2555 0.7558 0.7558
Nb 0.0000 0.3368 0.6632
Nb 0.5000 0.1736 0.8264
Nb 0.0000 0.6632 0.3368
Nb 0.5000 0.8264 0.1736
Nb 0.5000 0.5000 0.5000
Pd 0.0000 0.0000 0.0000
CELL_PARAMETERS angstrom
4.4278 -0.0002 -1.2388
-3.2963 6.4120 -3.2733
-0.1800 -0.8842 7.8664

***

! PBE TiNbPd2, optimized geometry; values from VASP
! DFT formation energy: -0.0047 eV per atom
! N(E_F): 1.09 states/eV per atom
! V: 138.3 Å³ per cell
! total magnetic moment: 0.000 μB per cell
&SYSTEM
  ibrav = 0, nat = 8, ntyp = 3
/
ATOMIC_SPECIES
Nb 92.91 Nb.upf
Pd 106.42 Pd.upf
Ti 47.87 Ti.upf
ATOMIC_POSITIONS crystal
Nb 0.7500 0.2500 0.5000
Nb 0.0000 0.0000 0.0000
Pd 0.6135 0.1250 0.2500
Pd 0.3750 0.3865 0.7500
Pd 0.8750 0.8635 0.7500
Pd 0.1365 0.6250 0.2500
Ti 0.5000 0.5000 0.0000
Ti 0.2500 0.7500 0.5000
CELL_PARAMETERS angstrom
7.1467 0.0000 0.0000
0.0000 7.1467 0.0000
3.5733 3.5733 2.7069

***

! PBE TiNbPd2, optimized geometry; values from VASP
! DFT formation energy: -0.2535 eV per atom
! N(E_F): 0.99 states/eV per atom
! V: 65.0 Å³ per cell
! total magnetic moment: 0.000 μB per cell
&SYSTEM
  ibrav = 0, nat = 4, ntyp = 3
/
ATOMIC_SPECIES
Nb 92.91 Nb.upf
Pd 106.42 Pd.upf
Ti 47.87 Ti.upf
ATOMIC_POSITIONS crystal
Nb 0.5000 0.5000 0.5000
Pd 0.2536 0.2536 0.2391
Pd 0.7464 0.7464 0.7609
Ti 0.0000 0.0000 0.0000
CELL_PARAMETERS angstrom
2.8549 0.0000 0.0000
1.4274 2.4724 0.0000
1.4274 0.8241 9.2032

***

! PBE Ti2NbPd2, optimized geometry; values from VASP
! DFT formation energy: -0.3102 eV per atom
! N(E_F): 0.90 states/eV per atom
! V: 164.8 Å³ per cell
! total magnetic moment: 0.000 μB per cell
&SYSTEM
  ibrav = 0, nat = 10, ntyp = 3
/
ATOMIC_SPECIES
Ti 47.87 Ti.upf
Nb 92.91 Nb.upf
Pd 106.42 Pd.upf
ATOMIC_POSITIONS crystal
Ti 0.3391 0.8391 0.0000
Ti 0.8391 0.6609 0.0000
Ti 0.1609 0.3391 0.0000
Ti 0.6609 0.1609 0.0000
Nb 0.5000 0.5000 0.0000
Nb 0.0000 0.0000 0.0000
Pd 0.8612 0.3612 0.5000
Pd 0.1388 0.6388 0.5000
Pd 0.3612 0.1388 0.5000
Pd 0.6388 0.8612 0.5000
CELL_PARAMETERS angstrom
7.4775 0.0000 0.0000
0.0000 7.4775 0.0000
0.0000 0.0000 2.9467

***

! PBE TiNbPdW, optimized geometry; values from VASP
! DFT formation energy: -0.1530 eV per atom
! N(E_F): 1.00 states/eV per atom
! V: 65.8 Å³ per cell
! total magnetic moment: 0.000 μB per cell
&SYSTEM
  ibrav = 0, nat = 4, ntyp = 4
/
ATOMIC_SPECIES
Nb 92.91 Nb.upf
W 183.84 W.upf
Ti 47.87 Ti.upf
Pd 106.42 Pd.upf
ATOMIC_POSITIONS crystal
Nb 0.7500 0.7500 0.7500
W 0.0000 0.0000 0.0000
Ti 0.2500 0.2500 0.2500
Pd 0.5000 0.5000 0.5000
CELL_PARAMETERS angstrom
4.5313 0.0000 0.0000
2.2656 3.9242 0.0000
2.2656 1.3081 3.6998

***

! PBE TiNbZn2Pd, optimized geometry; values from VASP
! DFT formation energy: 0.7148 eV per atom
! N(E_F): 1.71 states/eV per atom
! V: 104.5 Å³ per cell
! total magnetic moment: 0.023 μB per cell
&SYSTEM
  ibrav = 0, nat = 5, ntyp = 4
/
ATOMIC_SPECIES
Zn 65.41 Zn.upf
Pd 106.42 Pd.upf
Ti 47.87 Ti.upf
Nb 92.91 Nb.upf
ATOMIC_POSITIONS crystal
Zn 0.5000 0.0000 0.0000
Zn 0.0000 0.0000 0.5000
Pd 0.0000 0.0000 0.0000
Ti 0.5000 0.5000 0.5000
Nb 0.0000 0.5000 0.0000
CELL_PARAMETERS angstrom
-4.2609 -1.3673 1.0731
-0.1284 -2.7931 -4.0685
1.7340 -3.5395 2.3752

***

! PBE ZrTiNbPd, optimized geometry; values from VASP
! DFT formation energy: 0.0884 eV per atom
! N(E_F): 1.23 states/eV per atom
! V: 76.7 Å³ per cell
! total magnetic moment: 0.000 μB per cell
&SYSTEM
  ibrav = 0, nat = 4, ntyp = 4
/
ATOMIC_SPECIES
Zr 91.22 Zr.upf
Ti 47.87 Ti.upf
Pd 106.42 Pd.upf
Nb 92.91 Nb.upf
ATOMIC_POSITIONS crystal
Zr 0.6286 0.0000 0.2572
Ti 0.8582 0.5000 0.7165
Pd 0.2400 0.5000 0.4799
Nb 0.4693 0.0000 0.9386
CELL_PARAMETERS angstrom
2.8905 0.0000 0.0000
0.0000 2.8342 0.0000
-1.4453 0.0000 9.3617

***

! PBE ZrTiNbPd, optimized geometry; values from VASP
! DFT formation energy: -0.2292 eV per atom
! N(E_F): 0.99 states/eV per atom
! V: 70.9 Å³ per cell
! total magnetic moment: 0.000 μB per cell
&SYSTEM
  ibrav = 0, nat = 4, ntyp = 4
/
ATOMIC_SPECIES
Nb 92.91 Nb.upf
Zr 91.22 Zr.upf
Ti 47.87 Ti.upf
Pd 106.42 Pd.upf
ATOMIC_POSITIONS crystal
Nb 0.5000 0.5000 0.5000
Zr 0.7500 0.7500 0.7500
Ti 0.2500 0.2500 0.2500
Pd 0.0000 0.0000 0.0000
CELL_PARAMETERS angstrom
4.6459 0.0000 0.0000
2.3230 4.0235 0.0000
2.3230 1.3412 3.7934

***

! PBE Nb2TlPd, optimized geometry; values from VASP
! DFT formation energy: 0.4441 eV per atom
! N(E_F): 0.84 states/eV per atom
! V: 158.9 Å³ per cell
! total magnetic moment: 0.000 μB per cell
&SYSTEM
  ibrav = 0, nat = 8, ntyp = 3
/
ATOMIC_SPECIES
Nb 92.91 Nb.upf
Pd 106.42 Pd.upf
Tl 204.38 Tl.upf
ATOMIC_POSITIONS crystal
Nb 0.1234 0.6250 0.2500
Nb 0.6266 0.1250 0.2500
Nb 0.3750 0.3734 0.7500
Nb 0.8750 0.8766 0.7500
Pd 0.2500 0.7500 0.5000
Pd 0.5000 0.5000 0.0000
Tl 0.7500 0.2500 0.5000
Tl 0.0000 0.0000 0.0000
CELL_PARAMETERS angstrom
-0.0944 2.5719 -2.9161
-3.6497 0.9473 0.9535
1.7498 9.2141 5.4761

***

! PBE NbTlPd2, optimized geometry; values from VASP
! DFT formation energy: 0.2656 eV per atom
! N(E_F): 1.16 states/eV per atom
! V: 158.6 Å³ per cell
! total magnetic moment: 0.000 μB per cell
&SYSTEM
  ibrav = 0, nat = 8, ntyp = 3
/
ATOMIC_SPECIES
Pd 106.42 Pd.upf
Tl 204.38 Tl.upf
Nb 92.91 Nb.upf
ATOMIC_POSITIONS crystal
Pd 0.6012 0.1250 0.2500
Pd 0.3750 0.3988 0.7500
Pd 0.1488 0.6250 0.2500
Pd 0.8750 0.8512 0.7500
Tl 0.0000 0.0000 0.0000
Tl 0.7500 0.2500 0.5000
Nb 0.5000 0.5000 0.0000
Nb 0.2500 0.7500 0.5000
CELL_PARAMETERS angstrom
7.4303 0.0000 0.0000
0.0000 7.4303 0.0000
3.7152 3.7152 2.8723

***

! PBE NbTl2Pd, optimized geometry; values from VASP
! DFT formation energy: 0.3427 eV per atom
! N(E_F): 0.82 states/eV per atom
! V: 81.2 Å³ per cell
! total magnetic moment: 1.315 μB per cell
&SYSTEM
  ibrav = 0, nat = 4, ntyp = 3
/
ATOMIC_SPECIES
Tl 204.38 Tl.upf
Pd 106.42 Pd.upf
Nb 92.91 Nb.upf
ATOMIC_POSITIONS crystal
Tl 0.2500 0.2500 0.2500
Tl 0.7500 0.7500 0.7500
Pd 0.5000 0.5000 0.5000
Nb 0.0000 0.0000 0.0000
CELL_PARAMETERS angstrom
3.5565 -0.9944 3.1609
2.9111 3.5572 1.5813
-0.3300 1.5483 4.5960

***

! PBE NbTl3Pd, optimized geometry; values from VASP
! DFT formation energy: 0.9350 eV per atom
! N(E_F): 0.81 states/eV per atom
! V: 160.3 Å³ per cell
! total magnetic moment: 0.000 μB per cell
&SYSTEM
  ibrav = 0, nat = 5, ntyp = 3
/
ATOMIC_SPECIES
Tl 204.38 Tl.upf
Nb 92.91 Nb.upf
Pd 106.42 Pd.upf
ATOMIC_POSITIONS crystal
Tl 0.0000 0.0000 0.5000
Tl 0.5000 0.0000 0.0000
Tl 0.0000 0.5000 0.0000
Nb 0.0000 0.0000 0.0000
Pd 0.5000 0.5000 0.5000
CELL_PARAMETERS angstrom
-2.3493 3.9265 -2.9278
-3.6999 0.7050 3.9143
3.2093 3.6870 2.3695